1.
First-principles (PBE) data for SrDy2Ga6 after structural relaxation, as listed in Alexandria via LeMat-Bulk.

Results
**Formation enthalpy at 0 K**: -0.486 eV per atom
**Space-group type**: Immm
**Distance to the lowest polymorph of the same formula**: 0.67 eV per formula unit

a b c (Å): 7.7811 7.7811 7.7811
angles (deg): 146.73 123.72 66.97
Fractional positions:
Sr 0.0000 0.0000 0.0000
Dy 0.3745 0.8745 0.5000
Dy 0.6255 0.1255 0.5000
Ga 0.0114 0.3135 0.6979
Ga 0.3244 0.5000 0.8244
Ga 0.3843 0.6865 0.6979
Ga 0.6157 0.3135 0.3021
Ga 0.6756 0.5000 0.1756
Ga 0.9886 0.6865 0.3021

***

2.
First-principles (PBE) data for SrDyGa4 after structural relaxation, as listed in Alexandria via LeMat-Bulk.

Results
**Formation enthalpy at 0 K**: -0.515 eV per atom
**Space-group type**: I-4m2
**Distance to the lowest polymorph of the same formula**: 0.00 eV per formula unit

a b c (Å): 4.2804 4.2804 15.1749
angles (deg): 90.00 90.00 90.00
Fractional positions:
Sr 0.0000 0.0000 0.0000
Sr 0.5000 0.5000 0.5000
Dy 0.0000 0.5000 0.2500
Dy 0.5000 0.0000 0.7500
Ga 0.0000 0.0000 0.4141
Ga 0.0000 0.0000 0.5859
Ga 0.0000 0.5000 0.6698
Ga 0.0000 0.5000 0.8302
Ga 0.5000 0.0000 0.1698
Ga 0.5000 0.0000 0.3302
Ga 0.5000 0.5000 0.0859
Ga 0.5000 0.5000 0.9141

***

3.
First-principles (PBE) data for SrDy2Ga6 after structural relaxation, as listed in Alexandria via LeMat-Bulk.

Results
**Formation enthalpy at 0 K**: -0.561 eV per atom
**Space-group type**: P6/mmm
**Distance to the lowest polymorph of the same formula**: 0.00 eV per formula unit

a b c (Å): 7.3838 7.3838 4.2863
angles (deg): 90.00 90.00 120.00
Fractional positions:
Sr 0.0000 0.0000 0.0000
Dy 0.3333 0.6667 0.0000
Dy 0.6667 0.3333 0.0000
Ga 0.0000 0.3371 0.5000
Ga 0.0000 0.6629 0.5000
Ga 0.3371 0.0000 0.5000
Ga 0.3371 0.3371 0.5000
Ga 0.6629 0.0000 0.5000
Ga 0.6629 0.6629 0.5000

***

4.
First-principles (PBE) data for SrDyGa3 after structural relaxation, as listed in Alexandria via LeMat-Bulk.

Results
**Formation enthalpy at 0 K**: -0.512 eV per atom
**Space-group type**: Cmcm

a b c (Å): 13.2631 13.2631 4.2308
angles (deg): 90.00 90.00 160.31
Fractional positions:
Sr 0.0750 0.9250 0.7500
Sr 0.9250 0.0750 0.2500
Dy 0.2040 0.7960 0.2500
Dy 0.7960 0.2040 0.7500
Ga 0.3196 0.6804 0.2500
Ga 0.3769 0.6231 0.7500
Ga 0.4744 0.5256 0.7500
Ga 0.5256 0.4744 0.2500
Ga 0.6231 0.3769 0.2500
Ga 0.6804 0.3196 0.7500

***

5.
First-principles (PBE) data for SrDyGa4 after structural relaxation, as listed in Alexandria via LeMat-Bulk.

Results
**Formation enthalpy at 0 K**: -0.429 eV per atom
**Space-group type**: F-43m
**Distance to the lowest polymorph of the same formula**: 0.51 eV per formula unit

a b c (Å): 5.6463 5.6463 5.6463
angles (deg): 60.00 60.00 60.00
Fractional positions:
Sr 0.0000 0.0000 0.0000
Dy 0.7500 0.7500 0.7500
Ga 0.3755 0.3755 0.3755
Ga 0.3755 0.3755 0.8734
Ga 0.3755 0.8734 0.3755
Ga 0.8734 0.3755 0.3755

***

6.
First-principles (PBE) data for Sr2DyGaTe5 after structural relaxation, as listed in Alexandria via LeMat-Bulk.

Results
**Space-group type**: Cmc2_1
**Raw formation energy**: -1248 meV/atom

a b c (Å): 10.3291 10.3291 13.7659
angles (deg): 90.00 90.00 155.44
Fractional positions:
Sr 0.1199 0.8801 0.5000
Sr 0.1240 0.8760 0.1400
Sr 0.8760 0.1240 0.6400
Sr 0.8801 0.1199 0.0000
Dy 0.2059 0.7941 0.8418
Dy 0.7941 0.2059 0.3418
Ga 0.4390 0.5610 0.2519
Ga 0.5610 0.4390 0.7519
Te 0.0465 0.9535 0.8661
Te 0.2928 0.7072 0.4945
Te 0.3132 0.6868 0.1814
Te 0.3549 0.6451 0.8221
Te 0.4993 0.5007 0.5856
Te 0.5007 0.4993 0.0856
Te 0.6451 0.3549 0.3221
Te 0.6868 0.3132 0.6814
Te 0.7072 0.2928 0.9945
Te 0.9535 0.0465 0.3661

***

7.
First-principles (PBE) data for SrDyZnGa after structural relaxation, as listed in Alexandria via LeMat-Bulk.

Results
**Formation enthalpy at 0 K**: -0.309 eV per atom
**Space-group type**: F-43m

a b c (Å): 7.4539 7.4539 7.4539
angles (deg): 90.00 90.00 90.00
Fractional positions:
Sr 0.0000 0.0000 0.0000
Sr 0.0000 0.5000 0.5000
Sr 0.5000 0.0000 0.5000
Sr 0.5000 0.5000 0.0000
Dy 0.0000 0.0000 0.5000
Dy 0.0000 0.5000 0.0000
Dy 0.5000 0.0000 0.0000
Dy 0.5000 0.5000 0.5000
Zn 0.2500 0.2500 0.7500
Zn 0.2500 0.7500 0.2500
Zn 0.7500 0.2500 0.2500
Zn 0.7500 0.7500 0.7500
Ga 0.2500 0.2500 0.2500
Ga 0.2500 0.7500 0.7500
Ga 0.7500 0.2500 0.7500
Ga 0.7500 0.7500 0.2500

***

8.
First-principles (PBE) data for DyTaGa2 after structural relaxation, as listed in Alexandria via LeMat-Bulk.

Results
**Formation enthalpy at 0 K**: -0.239 eV per atom
**Space-group type**: P4/mmm
**Distance to the lowest polymorph of the same formula**: 0.00 eV per formula unit

a b c (Å): 3.5285 3.5285 6.2439
angles (deg): 90.00 90.00 90.00
Fractional positions:
Dy 0.0000 0.0000 0.0000
Ta 0.0000 0.0000 0.5000
Ga 0.5000 0.5000 0.2927
Ga 0.5000 0.5000 0.7073

***

9.
First-principles (PBE) data for DyTaGa2 after structural relaxation, as listed in Alexandria via LeMat-Bulk.

Results
**Formation enthalpy at 0 K**: -0.054 eV per atom
**Space-group type**: R-3m
**Distance to the lowest polymorph of the same formula**: 0.74 eV per formula unit

a b c (Å): 3.1223 3.1223 28.3861
angles (deg): 90.00 90.00 120.00
Fractional positions:
Dy 0.0000 0.0000 0.0000
Dy 0.3333 0.6667 0.6667
Dy 0.6667 0.3333 0.3333
Ta 0.0000 0.0000 0.5000
Ta 0.3333 0.6667 0.1667
Ta 0.6667 0.3333 0.8333
Ga 0.0000 0.0000 0.2440
Ga 0.0000 0.0000 0.7560
Ga 0.3333 0.6667 0.4227
Ga 0.3333 0.6667 0.9107
Ga 0.6667 0.3333 0.0893
Ga 0.6667 0.3333 0.5773

***

10.
First-principles (PBE) data for DyTaGa after structural relaxation, as listed in Alexandria via LeMat-Bulk.

Results
**Formation enthalpy at 0 K**: -0.347 eV per atom
**Space-group type**: P4/nmm

a b c (Å): 4.0529 4.0529 7.9993
angles (deg): 90.00 90.00 90.00
Fractional positions:
Dy 0.2500 0.2500 0.1605
Dy 0.7500 0.7500 0.8395
Ta 0.2500 0.7500 0.5000
Ta 0.7500 0.2500 0.5000
Ga 0.2500 0.2500 0.7478
Ga 0.7500 0.7500 0.2522

***

11.
First-principles (PBE) data for DyTaGa6 after structural relaxation, as listed in Alexandria via LeMat-Bulk.

Results
**Formation enthalpy at 0 K**: -0.235 eV per atom
**Space-group type**: C2/m

a b c (Å): 5.2823 9.1277 6.0133
angles (deg): 90.00 90.26 90.00
Fractional positions:
Dy 0.0000 0.0000 0.0000
Dy 0.5000 0.5000 0.0000
Ta 0.0000 0.0000 0.5000
Ta 0.5000 0.5000 0.5000
Ga 0.0000 0.5000 0.2714
Ga 0.0000 0.5000 0.7286
Ga 0.2502 0.2500 0.2696
Ga 0.2498 0.2500 0.7304
Ga 0.2502 0.7500 0.2696
Ga 0.2498 0.7500 0.7304
Ga 0.5000 0.0000 0.2714
Ga 0.5000 0.0000 0.7286
Ga 0.7502 0.2500 0.2696
Ga 0.7498 0.2500 0.7304
Ga 0.7502 0.7500 0.2696
Ga 0.7498 0.7500 0.7304

***

12.
First-principles (PBE) data for DyTaGa4 after structural relaxation, as listed in Alexandria via LeMat-Bulk.

Results
**Formation enthalpy at 0 K**: -0.240 eV per atom
**Space-group type**: F-43m

a b c (Å): 5.2986 5.2986 5.2986
angles (deg): 60.00 60.00 60.00
Fractional positions:
Dy 0.0000 0.0000 0.0000
Ta 0.7500 0.7500 0.7500
Ga 0.3755 0.3755 0.3755
Ga 0.3755 0.3755 0.8735
Ga 0.3755 0.8735 0.3755
Ga 0.8735 0.3755 0.3755

***

13.
First-principles (PBE) data for TbDy2Ga6 after structural relaxation, as listed in Alexandria via LeMat-Bulk.

Results
**Formation enthalpy at 0 K**: -0.467 eV per atom
**Space-group type**: Immm
**Distance to the lowest polymorph of the same formula**: 1.54 eV per formula unit

a b c (Å): 7.8263 7.8263 7.8263
angles (deg): 148.04 126.92 63.31
Fractional positions:
Tb 0.0000 0.0000 0.0000
Dy 0.3740 0.8740 0.5000
Dy 0.6260 0.1260 0.5000
Ga 0.0084 0.3159 0.6925
Ga 0.3111 0.5000 0.8111
Ga 0.3766 0.6841 0.6925
Ga 0.6234 0.3159 0.3075
Ga 0.6889 0.5000 0.1889
Ga 0.9916 0.6841 0.3075

***

14.
First-principles (PBE) data for Tb4DyGa4 after structural relaxation, as listed in Alexandria via LeMat-Bulk.

Results
**Formation enthalpy at 0 K**: -0.400 eV per atom
**Space-group type**: I4/m

a b c (Å): 7.4871 7.4871 7.4871
angles (deg): 95.75 95.75 143.09
Fractional positions:
Tb 0.1304 0.6440 0.7743
Tb 0.3560 0.1304 0.4864
Tb 0.6440 0.8696 0.5136
Tb 0.8696 0.3560 0.2257
Dy 0.0000 0.0000 0.0000
Ga 0.3277 0.4279 0.7556
Ga 0.4279 0.6723 0.1002
Ga 0.5721 0.3277 0.8998
Ga 0.6723 0.5721 0.2444

***

15.
First-principles (PBE) data for Tb2DyGa3 after structural relaxation, as listed in Alexandria via LeMat-Bulk.

Results
**Formation enthalpy at 0 K**: -0.502 eV per atom
**Space-group type**: Cmcm
**Distance to the lowest polymorph of the same formula**: 0.50 eV per formula unit

a b c (Å): 10.7336 10.7336 6.2156
angles (deg): 90.00 90.00 155.51
Fractional positions:
Tb 0.0334 0.9666 0.7500
Tb 0.1421 0.8579 0.2500
Tb 0.8579 0.1421 0.7500
Tb 0.9666 0.0334 0.2500
Dy 0.3234 0.6766 0.2500
Dy 0.6766 0.3234 0.7500
Ga 0.2630 0.7370 0.7500
Ga 0.4376 0.5624 0.5445
Ga 0.4376 0.5624 0.9555
Ga 0.5624 0.4376 0.0445
Ga 0.5624 0.4376 0.4555
Ga 0.7370 0.2630 0.2500

***

16.
First-principles (PBE) data for TbDy6Ga3 after structural relaxation, as listed in Alexandria via LeMat-Bulk.

Results
**Formation enthalpy at 0 K**: -0.303 eV per atom
**Space-group type**: Cmc2_1

a b c (Å): 8.3334 8.3334 8.1937
angles (deg): 90.00 90.00 99.60
Fractional positions:
Tb 0.1629 0.8371 0.5000
Tb 0.8371 0.1629 0.0000
Dy 0.0860 0.4453 0.2804
Dy 0.1014 0.2325 0.6382
Dy 0.2325 0.1014 0.1382
Dy 0.2754 0.7246 0.9893
Dy 0.4453 0.0860 0.7804
Dy 0.4636 0.5364 0.6574
Dy 0.5364 0.4636 0.1574
Dy 0.5547 0.9140 0.2804
Dy 0.7246 0.2754 0.4893
Dy 0.7675 0.8986 0.6382
Dy 0.8986 0.7675 0.1382
Dy 0.9140 0.5547 0.7804
Ga 0.0707 0.9293 0.8351
Ga 0.2181 0.3820 0.9415
Ga 0.3820 0.2181 0.4415
Ga 0.6180 0.7819 0.9415
Ga 0.7819 0.6180 0.4415
Ga 0.9293 0.0707 0.3351

***

17.
First-principles (PBE) data for TbDy2Ga3 after structural relaxation, as listed in Alexandria via LeMat-Bulk.

Results
**Formation enthalpy at 0 K**: -0.585 eV per atom
**Space-group type**: P-3m1

a b c (Å): 5.0513 5.0513 6.2054
angles (deg): 90.00 90.00 120.00
Fractional positions:
Tb 0.0000 0.0000 0.0000
Dy 0.3333 0.6667 0.6656
Dy 0.6667 0.3333 0.3344
Ga 0.0000 0.0000 0.5000
Ga 0.3333 0.6667 0.1666
Ga 0.6667 0.3333 0.8334

***

18.
First-principles (PBE) data for TbDy2Ga6 after structural relaxation, as listed in Alexandria via LeMat-Bulk.

Results
**Formation enthalpy at 0 K**: -0.639 eV per atom
**Space-group type**: P6/mmm
**Distance to the lowest polymorph of the same formula**: 0.00 eV per formula unit

a b c (Å): 7.4564 7.4564 3.8638
angles (deg): 90.00 90.00 120.00
Fractional positions:
Tb 0.0000 0.0000 0.0000
Dy 0.3333 0.6667 0.0000
Dy 0.6667 0.3333 0.0000
Ga 0.0000 0.3335 0.5000
Ga 0.0000 0.6665 0.5000
Ga 0.3335 0.0000 0.5000
Ga 0.3335 0.3335 0.5000
Ga 0.6665 0.0000 0.5000
Ga 0.6665 0.6665 0.5000

***

19.
First-principles (PBE) data for Tb3DyGa4 after structural relaxation, as listed in Alexandria via LeMat-Bulk.

Results
**Formation enthalpy at 0 K**: -0.583 eV per atom
**Space-group type**: R-3m
**Distance to the lowest polymorph of the same formula**: 0.00 eV per formula unit

a b c (Å): 8.7858 8.7858 8.7858
angles (deg): 33.47 33.47 33.47
Fractional positions:
Tb 0.0000 0.0000 0.0000
Tb 0.2499 0.2499 0.2499
Tb 0.7501 0.7501 0.7501
Dy 0.5000 0.5000 0.5000
Ga 0.1252 0.1252 0.1252
Ga 0.3752 0.3752 0.3752
Ga 0.6248 0.6248 0.6248
Ga 0.8748 0.8748 0.8748

***

20.
First-principles (PBE) data for TbDyGa4 after structural relaxation, as listed in Alexandria via LeMat-Bulk.

Results
**Formation enthalpy at 0 K**: -0.556 eV per atom
**Space-group type**: P-3m1
**Distance to the lowest polymorph of the same formula**: 0.48 eV per formula unit

a b c (Å): 5.4568 5.4568 9.2635
angles (deg): 90.00 90.00 120.00
Fractional positions:
Tb 0.3333 0.6667 0.4297
Tb 0.6667 0.3333 0.5703
Dy 0.3333 0.6667 0.0699
Dy 0.6667 0.3333 0.9301
Ga 0.0000 0.0000 0.0000
Ga 0.0000 0.0000 0.5000
Ga 0.1721 0.3442 0.7507
Ga 0.1721 0.8279 0.7507
Ga 0.3442 0.1721 0.2493
Ga 0.6558 0.8279 0.7507
Ga 0.8279 0.1721 0.2493
Ga 0.8279 0.6558 0.2493

***

21.
First-principles (PBE) data for Tb3DyGa3 after structural relaxation, as listed in Alexandria via LeMat-Bulk.

Results
**Formation enthalpy at 0 K**: -0.419 eV per atom
**Space-group type**: P6_3/m

a b c (Å): 9.1563 9.1563 4.8049
angles (deg): 90.00 90.00 120.00
Fractional positions:
Tb 0.0150 0.7599 0.2500
Tb 0.2401 0.2551 0.2500
Tb 0.2551 0.0150 0.7500
Tb 0.7449 0.9850 0.2500
Tb 0.7599 0.7449 0.7500
Tb 0.9850 0.2401 0.7500
Dy 0.3333 0.6667 0.7500
Dy 0.6667 0.3333 0.2500
Ga 0.0581 0.4503 0.2500
Ga 0.3922 0.9419 0.2500
Ga 0.4503 0.3922 0.7500
Ga 0.5497 0.6078 0.2500
Ga 0.6078 0.0581 0.7500
Ga 0.9419 0.5497 0.7500

***

22.
First-principles (PBE) data for Tb3DyGa4 after structural relaxation, as listed in Alexandria via LeMat-Bulk.

Results
**Formation enthalpy at 0 K**: -0.462 eV per atom
**Space-group type**: Immm
**Distance to the lowest polymorph of the same formula**: 0.97 eV per formula unit

a b c (Å): 3.6045 6.7526 16.6382
angles (deg): 90.00 90.00 90.00
Fractional positions:
Tb 0.0000 0.0000 0.0000
Tb 0.0000 0.5000 0.2024
Tb 0.0000 0.5000 0.7976
Tb 0.5000 0.0000 0.2976
Tb 0.5000 0.0000 0.7024
Tb 0.5000 0.5000 0.5000
Dy 0.0000 0.0000 0.5000
Dy 0.5000 0.5000 0.0000
Ga 0.0000 0.3072 0.3707
Ga 0.0000 0.3072 0.6293
Ga 0.0000 0.6928 0.3707
Ga 0.0000 0.6928 0.6293
Ga 0.5000 0.1928 0.1293
Ga 0.5000 0.1928 0.8707
Ga 0.5000 0.8072 0.1293
Ga 0.5000 0.8072 0.8707

***

23.
First-principles (PBE) data for TbDyGa2 after structural relaxation, as listed in Alexandria via LeMat-Bulk.

Results
**Formation enthalpy at 0 K**: -0.585 eV per atom
**Space-group type**: Fm-3m
**Distance to the lowest polymorph of the same formula**: 0.18 eV per formula unit

a b c (Å): 7.1541 7.1541 7.1541
angles (deg): 90.00 90.00 90.00
Fractional positions:
Tb 0.0000 0.0000 0.0000
Tb 0.0000 0.5000 0.5000
Tb 0.5000 0.0000 0.5000
Tb 0.5000 0.5000 0.0000
Dy 0.0000 0.0000 0.5000
Dy 0.0000 0.5000 0.0000
Dy 0.5000 0.0000 0.0000
Dy 0.5000 0.5000 0.5000
Ga 0.2500 0.2500 0.2500
Ga 0.2500 0.2500 0.7500
Ga 0.2500 0.7500 0.2500
Ga 0.2500 0.7500 0.7500
Ga 0.7500 0.2500 0.2500
Ga 0.7500 0.2500 0.7500
Ga 0.7500 0.7500 0.2500
Ga 0.7500 0.7500 0.7500